Material: Nd3Y6Er2Th
Method: DFT, PBE
State: relaxed

## Properties
density of states at the Fermi level = 16.4 states/eV per cell
ΔE_f = 0.020 eV per atom

```
data_Nd3Y6Er2Th
_space_group_name_H-M_alt 'P 1'
_space_group_IT_number 1
_space_group_name_Hall 'P 1'
_cell_length_a 6.222
_cell_length_b 6.222
_cell_length_c 11.874
_cell_angle_alpha 95.02
_cell_angle_beta 95.02
_cell_angle_gamma 119.99
loop_
_atom_site_label
_atom_site_type_symbol
_atom_site_fract_x
_atom_site_fract_y
_atom_site_fract_z
Nd1 Nd 0.000 0.000 0.000
Nd2 Nd 0.333 0.667 0.000
Nd3 Nd 0.667 0.333 0.000
Y1 Y 0.087 0.418 0.254
Y2 Y 0.252 0.252 0.746
Y3 Y 0.418 0.087 0.254
Y4 Y 0.582 0.913 0.746
Y5 Y 0.748 0.748 0.254
Y6 Y 0.913 0.582 0.746
Er1 Er 0.167 0.833 0.500
Er2 Er 0.833 0.167 0.500
Th1 Th 0.500 0.500 0.500
```

Material: BP
Method: DFT, PBE
State: relaxed

## Properties
ΔE_f = 0.083 eV per atom

```
data_BP
_space_group_name_H-M_alt 'P 1'
_space_group_IT_number 1
_space_group_name_Hall 'P 1'
_cell_length_a 9.107
_cell_length_b 3.163
_cell_length_c 5.645
_cell_angle_alpha 90.00
_cell_angle_beta 90.00
_cell_angle_gamma 90.00
loop_
_atom_site_label
_atom_site_type_symbol
_atom_site_fract_x
_atom_site_fract_y
_atom_site_fract_z
B1 B 0.000 0.039 0.000
B2 B 0.214 0.337 0.264
B3 B 0.286 0.663 0.764
B4 B 0.500 0.961 0.500
B5 B 0.714 0.663 0.764
B6 B 0.786 0.337 0.264
P1 P 0.000 0.514 0.217
P2 P 0.206 0.161 0.915
P3 P 0.294 0.839 0.415
P4 P 0.500 0.486 0.717
P5 P 0.706 0.839 0.415
P6 P 0.794 0.161 0.915
```

Material: ZrTlIO2
Method: DFT, PBE
State: relaxed

## Properties
uncorrected formation energy = -1.5285 eV/atom
energy above the most stable polymorph in this dataset = 0 meV/atom

```
data_ZrTlIO2
_space_group_name_H-M_alt 'P 1'
_space_group_IT_number 1
_space_group_name_Hall 'P 1'
_cell_length_a 4.310
_cell_length_b 4.310
_cell_length_c 6.030
_cell_angle_alpha 90.00
_cell_angle_beta 90.00
_cell_angle_gamma 90.00
loop_
_atom_site_label
_atom_site_type_symbol
_atom_site_fract_x
_atom_site_fract_y
_atom_site_fract_z
Zr1 Zr 0.000 0.000 0.000
Tl1 Tl 0.500 0.500 0.500
I1 I 0.000 0.000 0.500
O1 O 0.000 0.500 0.000
O2 O 0.500 0.000 0.000
```

Material: Ba3AlSi2
Method: DFT, PBE
State: relaxed

## Properties
density of states at the Fermi level = 3.9 states/eV per cell
uncorrected formation energy = -0.2751 eV/atom

```
data_Ba3AlSi2
_space_group_name_H-M_alt 'P 1'
_space_group_IT_number 1
_space_group_name_Hall 'P 1'
_cell_length_a 8.922
_cell_length_b 10.010
_cell_length_c 10.446
_cell_angle_alpha 90.00
_cell_angle_beta 112.19
_cell_angle_gamma 90.00
loop_
_atom_site_label
_atom_site_type_symbol
_atom_site_fract_x
_atom_site_fract_y
_atom_site_fract_z
Ba1 Ba 0.204 0.191 0.326
Ba2 Ba 0.204 0.309 0.826
Ba3 Ba 0.238 0.536 0.153
Ba4 Ba 0.238 0.964 0.653
Ba5 Ba 0.270 0.594 0.547
Ba6 Ba 0.270 0.906 0.047
Ba7 Ba 0.730 0.094 0.953
Ba8 Ba 0.730 0.406 0.453
Ba9 Ba 0.762 0.036 0.347
Ba10 Ba 0.762 0.464 0.847
Ba11 Ba 0.796 0.691 0.174
Ba12 Ba 0.796 0.809 0.674
Al1 Al 0.420 0.611 0.914
Al2 Al 0.420 0.889 0.414
Al3 Al 0.580 0.111 0.586
Al4 Al 0.580 0.389 0.086
Si1 Si 0.122 0.634 0.814
Si2 Si 0.122 0.866 0.314
Si3 Si 0.432 0.212 0.147
Si4 Si 0.432 0.288 0.647
Si5 Si 0.568 0.712 0.353
Si6 Si 0.568 0.788 0.853
Si7 Si 0.878 0.134 0.686
Si8 Si 0.878 0.366 0.186
```

Material: TlIn4Ga2
Method: DFT, PBE
State: relaxed

## Properties
density of states at the Fermi level = 2.4 states/eV per cell
ΔE_f = 0.042 eV per atom
energy above the most stable polymorph in this dataset = 0 meV/atom

```
data_TlIn4Ga2
_space_group_name_H-M_alt 'P 1'
_space_group_IT_number 1
_space_group_name_Hall 'P 1'
_cell_length_a 8.560
_cell_length_b 8.560
_cell_length_c 4.403
_cell_angle_alpha 90.00
_cell_angle_beta 90.00
_cell_angle_gamma 145.10
loop_
_atom_site_label
_atom_site_type_symbol
_atom_site_fract_x
_atom_site_fract_y
_atom_site_fract_z
Tl1 Tl 0.000 0.000 0.000
In1 In 0.165 0.835 0.500
In2 In 0.311 0.689 0.000
In3 In 0.689 0.311 0.000
In4 In 0.835 0.165 0.500
Ga1 Ga 0.422 0.578 0.500
Ga2 Ga 0.578 0.422 0.500
```

Material: CdH2Ru
Method: DFT, PBE
State: relaxed

## Properties
density of states at the Fermi level = 0.5 states/eV per cell
energy above the most stable polymorph in this dataset = 624 meV/atom

```
data_CdH2Ru
_space_group_name_H-M_alt 'P 1'
_space_group_IT_number 1
_space_group_name_Hall 'P 1'
_cell_length_a 3.861
_cell_length_b 3.861
_cell_length_c 3.861
_cell_angle_alpha 60.00
_cell_angle_beta 60.00
_cell_angle_gamma 60.00
loop_
_atom_site_label
_atom_site_type_symbol
_atom_site_fract_x
_atom_site_fract_y
_atom_site_fract_z
Cd1 Cd 0.000 0.000 0.000
H1 H 0.250 0.250 0.250
H2 H 0.750 0.750 0.750
Ru1 Ru 0.500 0.500 0.500
```